Sm4NiCBr2 | PBE-GGA | optimized geometry

Cell: 7.039 3.818 7.685 Å, 90.00 106.99 90.00°
Positions (direct):
Sm (0.207, 0.000, 0.187)
Sm (0.261, 0.500, 0.812)
Sm (0.739, 0.500, 0.188)
Sm (0.793, 0.000, 0.813)
Ni (0.500, 0.000, 0.000)
C (0.000, 0.500, 0.000)
Br (0.000, 0.000, 0.500)
Br (0.500, 0.500, 0.500)

Electronic total energy   -0.200 hartree per atom
Raw formation energy   -610 kJ/mol of formula units
Symmetry   P2/m (10)
Magnetic moment   0.0 μB per formula unit